3
Lattice="0.000 4.025 4.025 4.025 0.000 4.025 4.025 4.025 0.000" Properties=species:S:1:pos:R:3 comment="AcNdHo PBE relaxed" relative_energy_mev_per_atom=0 total_magnetization_mub_per_fu=0.049 delta_e_f_mev_per_atom=647 pbc="T T T"
Ac 2.013 2.013 2.013
Nd 6.038 6.038 6.038
Ho 0.000 0.000 0.000